No. 1
# GGA-PBE MoRuRh2, optimized geometry
data_MoRuRh2
_chemical_formula_sum 'Mo1 Ru1 Rh2'
_cell_length_a 3.268
_cell_length_b 3.268
_cell_length_c 5.542
_cell_angle_alpha 90.00
_cell_angle_beta 90.00
_cell_angle_gamma 90.00
_space_group_name_H-M_alt 'P 4 m m'
_space_group_IT_number 99
_space_group_name_Hall 'P 4 -2'
loop_
_atom_site_label
_atom_site_fract_x
_atom_site_fract_y
_atom_site_fract_z
Mo1 0.000 0.000 0.000
Ru1 0.500 0.500 0.756
Rh1 0.000 0.000 0.505
Rh2 0.500 0.500 0.252
# Formation energy, meV/atom: 161
# Size of the total moment, μB per formula unit: 0.000
# VASP energy, eV per atom: -8.54
# Distance to the lowest polymorph of the same formula, meV per atom: 369
# Volume, Å³/cell: 59.2



No. 2
# GGA-PBE AlCr2Fe, optimized geometry
data_AlCr2Fe
_chemical_formula_sum 'Al2 Cr4 Fe2'
_cell_length_a 4.844
_cell_length_b 8.230
_cell_length_c 2.497
_cell_angle_alpha 90.00
_cell_angle_beta 106.50
_cell_angle_gamma 90.00
_space_group_name_H-M_alt 'C 1 2/m 1'
_space_group_IT_number 12
_space_group_name_Hall '-C 2y'
loop_
_atom_site_label
_atom_site_fract_x
_atom_site_fract_y
_atom_site_fract_z
Al1 0.000 0.000 0.000
Cr1 0.250 0.250 0.500
Fe1 0.000 0.500 0.000
# Formation energy, meV/atom: 12
# Size of the total moment, μB per formula unit: 1.438
# VASP energy, eV per atom: -7.85
# Distance to the lowest polymorph of the same formula, meV per atom: 153
# Volume, Å³/cell: 95.5



No. 3
# GGA-PBE SrPBr2, optimized geometry
data_SrPBr2
_chemical_formula_sum 'Sr2 P2 Br4'
_cell_length_a 5.582
_cell_length_b 5.595
_cell_length_c 8.796
_cell_angle_alpha 90.00
_cell_angle_beta 90.00
_cell_angle_gamma 90.00
_space_group_name_H-M_alt 'C m m m'
_space_group_IT_number 65
_space_group_name_Hall '-C 2 2'
loop_
_atom_site_label
_atom_site_fract_x
_atom_site_fract_y
_atom_site_fract_z
Sr1 0.000 0.000 0.000
P1 0.000 0.000 0.500
Br1 0.000 0.500 0.194
# Energy relative to the elements, uncorrected, eV per atom: -0.567
# Size of the total moment, μB per formula unit: 3.001
# VASP energy, eV per atom: -3.18
# Distance to the lowest polymorph of the same formula, meV per atom: 314
# Volume, Å³/cell: 274.7



No. 4
# GGA-PBE PmSm3Ir2, optimized geometry
data_PmSm3Ir2
_chemical_formula_sum 'Pm2 Sm6 Ir4'
_cell_length_a 4.793
_cell_length_b 8.907
_cell_length_c 7.331
_cell_angle_alpha 90.00
_cell_angle_beta 90.00
_cell_angle_gamma 90.00
_space_group_name_H-M_alt 'P m c 21'
_space_group_IT_number 26
_space_group_name_Hall 'P 2c -2'
loop_
_atom_site_label
_atom_site_fract_x
_atom_site_fract_y
_atom_site_fract_z
Pm1 0.000 0.086 0.000
Sm1 0.000 0.337 0.635
Sm2 0.500 0.165 0.354
Sm3 0.500 0.413 0.988
Ir1 0.000 0.335 0.238
Ir2 0.500 0.166 0.750
# Formation energy, meV/atom: -615
# Size of the total moment, μB per formula unit: 0.000
# VASP energy, eV per atom: -6.72
# Distance to the lowest polymorph of the same formula, meV per atom: 0
# Volume, Å³/cell: 313.0



No. 5
# GGA-PBE Nd2Ga2Ge, optimized geometry
data_Nd2Ga2Ge
_chemical_formula_sum 'Nd8 Ga8 Ge4'
_cell_length_a 11.260
_cell_length_b 4.243
_cell_length_c 11.190
_cell_angle_alpha 90.00
_cell_angle_beta 116.02
_cell_angle_gamma 90.00
_space_group_name_H-M_alt 'C 1 2/m 1'
_space_group_IT_number 12
_space_group_name_Hall '-C 2y'
loop_
_atom_site_label
_atom_site_fract_x
_atom_site_fract_y
_atom_site_fract_z
Nd1 0.099 0.000 0.402
Nd2 0.207 0.500 0.142
Ga1 0.017 0.000 0.901
Ga2 0.134 0.500 0.617
Ge1 0.072 0.500 0.813
# Formation energy, meV/atom: -683
# Size of the total moment, μB per formula unit: 0.000
# VASP energy, eV per atom: -4.72
# Distance to the lowest polymorph of the same formula, meV per atom: 0
# Volume, Å³/cell: 480.5



No. 6
# GGA-PBE CePu2ThBi4, optimized geometry
data_CePu2ThBi4
_chemical_formula_sum 'Ce1 Pu2 Th1 Bi4'
_cell_length_a 7.889
_cell_length_b 4.578
_cell_length_c 7.990
_cell_angle_alpha 90.00
_cell_angle_beta 109.50
_cell_angle_gamma 90.00
_space_group_name_H-M_alt 'P 1 2/m 1'
_space_group_IT_number 10
_space_group_name_Hall '-P 2y'
loop_
_atom_site_label
_atom_site_fract_x
_atom_site_fract_y
_atom_site_fract_z
Ce1 0.000 0.000 0.000
Pu1 0.500 0.000 0.500
Pu2 0.500 0.500 0.000
Th1 0.000 0.500 0.500
Bi1 0.252 0.500 0.251
Bi2 0.253 0.000 0.752
# Formation energy, meV/atom: -528
# Size of the total moment, μB per formula unit: 0.813
# VASP energy, eV per atom: -7.72
# Volume, Å³/cell: 272.0



No. 7
# GGA-PBE La3InO, optimized geometry
data_La3InO
_chemical_formula_sum 'La12 In4 O4'
_cell_length_a 5.467
_cell_length_b 5.467
_cell_length_c 24.997
_cell_angle_alpha 90.00
_cell_angle_beta 90.00
_cell_angle_gamma 90.00
_space_group_name_H-M_alt 'I -4 m 2'
_space_group_IT_number 119
_space_group_name_Hall 'I -4 -2'
loop_
_atom_site_label
_atom_site_fract_x
_atom_site_fract_y
_atom_site_fract_z
La1 0.000 0.000 0.193
La2 0.000 0.244 0.624
In1 0.000 0.000 0.500
In2 0.000 0.500 0.750
O1 0.000 0.500 0.158
# Energy relative to the elements, uncorrected, eV per atom: -0.021
# Size of the total moment, μB per formula unit: 0.000
# VASP energy, eV per atom: -4.52
# Volume, Å³/cell: 747.1



No. 8
# GGA-PBE ZnGeRuN2, optimized geometry
data_ZnGeRuN2
_chemical_formula_sum 'Zn1 Ge1 Ru1 N2'
_cell_length_a 3.770
_cell_length_b 3.770
_cell_length_c 5.481
_cell_angle_alpha 90.00
_cell_angle_beta 90.00
_cell_angle_gamma 90.00
_space_group_name_H-M_alt 'P 4/m m m'
_space_group_IT_number 123
_space_group_name_Hall '-P 4 2'
loop_
_atom_site_label
_atom_site_fract_x
_atom_site_fract_y
_atom_site_fract_z
Zn1 0.000 0.000 0.000
Ge1 0.500 0.500 0.000
Ru1 0.500 0.500 0.500
N1 0.000 0.500 0.500
# Energy relative to the elements, uncorrected, eV per atom: 0.756
# Size of the total moment, μB per formula unit: 0.000
# VASP energy, eV per atom: -5.61
# Volume, Å³/cell: 77.9



No. 9
# GGA-PBE CdMoW2, optimized geometry
data_CdMoW2
_chemical_formula_sum 'Cd1 Mo1 W2'
_cell_length_a 3.346
_cell_length_b 3.346
_cell_length_c 6.190
_cell_angle_alpha 90.00
_cell_angle_beta 90.00
_cell_angle_gamma 90.00
_space_group_name_H-M_alt 'P 4 m m'
_space_group_IT_number 99
_space_group_name_Hall 'P 4 -2'
loop_
_atom_site_label
_atom_site_fract_x
_atom_site_fract_y
_atom_site_fract_z
Cd1 0.000 0.000 0.000
Mo1 0.500 0.500 0.281
W1 0.000 0.000 0.499
W2 0.500 0.500 0.715
# Formation energy, meV/atom: 450
# Size of the total moment, μB per formula unit: 0.000
# VASP energy, eV per atom: -8.96
# Volume, Å³/cell: 69.3



No. 10
# GGA-PBE Li2ErSn2, optimized geometry
data_Li2ErSn2
_chemical_formula_sum 'Li4 Er2 Sn4'
_cell_length_a 3.434
_cell_length_b 4.651
_cell_length_c 13.877
_cell_angle_alpha 90.00
_cell_angle_beta 90.00
_cell_angle_gamma 90.00
_space_group_name_H-M_alt 'I m m m'
_space_group_IT_number 71
_space_group_name_Hall '-I 2 2'
loop_
_atom_site_label
_atom_site_fract_x
_atom_site_fract_y
_atom_site_fract_z
Li1 0.000 0.000 0.222
Er1 0.000 0.500 0.500
Sn1 0.000 0.500 0.111
# Formation energy, meV/atom: -470
# Size of the total moment, μB per formula unit: 0.000
# VASP energy, eV per atom: -3.75
# Distance to the lowest polymorph of the same formula, meV per atom: 7
# Volume, Å³/cell: 221.6



No. 11
# GGA-PBE Ac2PrGe3Pd4, optimized geometry
data_Ac2PrGe3Pd4
_chemical_formula_sum 'Ac2 Pr1 Ge3 Pd4'
_cell_length_a 4.457
_cell_length_b 4.457
_cell_length_c 11.431
_cell_angle_alpha 90.00
_cell_angle_beta 90.00
_cell_angle_gamma 90.00
_space_group_name_H-M_alt 'P -4 m 2'
_space_group_IT_number 115
_space_group_name_Hall 'P -4 -2'
loop_
_atom_site_label
_atom_site_fract_x
_atom_site_fract_y
_atom_site_fract_z
Ac1 0.000 0.500 0.224
Pr1 0.000 0.000 0.500
Ge1 0.000 0.500 0.886
Ge2 0.500 0.500 0.500
Pd1 0.000 0.000 0.000
Pd2 0.000 0.500 0.664
Pd3 0.500 0.500 0.000
# Formation energy, meV/atom: -816
# Size of the total moment, μB per formula unit: 0.000
# VASP energy, eV per atom: -5.58
# Volume, Å³/cell: 227.1



No. 12
# GGA-PBE Sr2Ag2Au, optimized geometry
data_Sr2Ag2Au
_chemical_formula_sum 'Sr4 Ag4 Au2'
_cell_length_a 6.092
_cell_length_b 6.092
_cell_length_c 8.168
_cell_angle_alpha 90.00
_cell_angle_beta 90.00
_cell_angle_gamma 90.00
_space_group_name_H-M_alt 'I 4/m m m'
_space_group_IT_number 139
_space_group_name_Hall '-I 4 2'
loop_
_atom_site_label
_atom_site_fract_x
_atom_site_fract_y
_atom_site_fract_z
Sr1 0.000 0.500 0.250
Ag1 0.000 0.000 0.161
Au1 0.000 0.000 0.500
# Formation energy, meV/atom: -262
# Size of the total moment, μB per formula unit: 0.000
# VASP energy, eV per atom: -2.73
# Distance to the lowest polymorph of the same formula, meV per atom: 191
# Volume, Å³/cell: 303.1



No. 13
# GGA-PBE LiBeHgF2, optimized geometry
data_LiBeHgF2
_chemical_formula_sum 'Li1 Be1 Hg1 F2'
_cell_length_a 3.434
_cell_length_b 3.434
_cell_length_c 7.203
_cell_angle_alpha 90.00
_cell_angle_beta 90.00
_cell_angle_gamma 90.00
_space_group_name_H-M_alt 'P 4/m m m'
_space_group_IT_number 123
_space_group_name_Hall '-P 4 2'
loop_
_atom_site_label
_atom_site_fract_x
_atom_site_fract_y
_atom_site_fract_z
Li1 0.000 0.000 0.000
Be1 0.000 0.000 0.500
Hg1 0.500 0.500 0.000
F1 0.000 0.500 0.500
# Energy relative to the elements, uncorrected, eV per atom: -1.501
# Size of the total moment, μB per formula unit: 0.000
# VASP energy, eV per atom: -3.44
# Volume, Å³/cell: 84.9